The following is a DFT calculation (PBE) of crystalline PrGe2Pt5 at its relaxed geometry.

Calculated values
Energy of formation   -5.673 eV per formula unit
Density   14.55 g/cm3
V   18.0 Å³/atom
Crystal system   orthorhombic
DOS(E_F)   0.46 states/eV/atom

a = 4.0089 Å, b = 7.2472 Å, c = 9.9095 Å
α = 90.00°, β = 90.00°, γ = 90.00°
Last column: nearest neighbours and their distance in Å.
Space group Immm (No. 71)
Inequivalent atoms, fractional coordinates:
Pr (0.0000, 0.0000, 0.0000) [2 per cell]  4 Ge 3.18, 8 Pt 3.30
Ge (0.0000, 0.5000, 0.2507) [4 per cell]  7 Pt 2.43-2.68
Pt (0.0000, 0.1970, 0.3555) [8 per cell]  3 Ge 2.43-2.68
Pt (0.0000, 0.5000, 0.0000) [2 per cell]  2 Ge 2.48

The following is a DFT calculation (PBE) of crystalline Ce2PrAuC at its relaxed geometry.

Calculated values
Energy of formation   -1.169 eV per formula unit
Density   8.53 g/cm3
V   24.5 Å³/atom
Crystal system   tetragonal
DOS(E_F)   2.20 states/eV/atom

a = 4.8641 Å, b = 4.8641 Å, c = 5.1818 Å
α = 90.00°, β = 90.00°, γ = 90.00°
Last column: nearest neighbours and their distance in Å.
Space group P4/mmm (No. 123)
Inequivalent atoms, fractional coordinates:
Ce (0.0000, 0.5000, 0.0000) [2 per cell]  2 C 2.43
Pr (0.0000, 0.0000, 0.5000) [1 per cell]  2 C 2.59
Au (0.5000, 0.5000, 0.5000) [1 per cell]  4 Pr 3.44, 8 Ce 3.55
C (0.0000, 0.0000, 0.0000) [1 per cell]  4 Ce 2.43, 2 Pr 2.59

The following is a DFT calculation (PBE) of crystalline CsRbBa2In at its relaxed geometry.

Calculated values
Energy of formation   0.083 eV per formula unit
Density   2.78 g/cm3
V   72.6 Å³/atom
Crystal system   tetragonal
DOS(E_F)   1.38 states/eV/atom

a = 6.9146 Å, b = 6.9146 Å, c = 7.5904 Å
α = 90.00°, β = 90.00°, γ = 90.00°
Last column: nearest neighbours and their distance in Å.
Space group P4/mmm (No. 123)
Inequivalent atoms, fractional coordinates:
Cs (0.0000, 0.0000, 0.0000) [1 per cell]  4 Rb 4.89, 8 Ba 5.13
Rb (0.5000, 0.5000, 0.0000) [1 per cell]  2 In 3.80
Ba (0.0000, 0.5000, 0.5000) [2 per cell]  2 In 3.46
In (0.5000, 0.5000, 0.5000) [1 per cell]  4 Ba 3.46, 2 Rb 3.80